The following is a PBE-GGA calculation of crystalline SmEr2Hg8 at its relaxed geometry, from Alexandria via LeMat-Bulk.

a = 16.021 Å, b = 4.922 Å, c = 7.239 Å
α = 90.00°, β = 108.58°, γ = 90.00°
Space group C2/m (No. 12)
One atom of each set of equivalent atoms:
Sm: 0.000 0.000 0.000 x2
Er: 0.217 0.500 0.655 x4
Hg: 0.033 0.500 0.730 x4
Hg: 0.098 0.000 0.462 x4
Hg: 0.149 0.500 0.192 x4
Hg: 0.177 0.000 0.906 x4

Spin magnetization, μB per formula unit: 0.000
Energy relative to the elements, meV/atom: -310

---

The following is a PBE-GGA calculation of crystalline Au2Br at its relaxed geometry, from Alexandria via LeMat-Bulk.

a = 5.476 Å, b = 5.476 Å, c = 9.255 Å
α = 90.00°, β = 90.00°, γ = 90.00°
Space group I4/mcm (No. 140)
One atom of each set of equivalent atoms:
Au: 0.182 0.318 0.000 x8
Br: 0.000 0.000 0.250 x4

Spin magnetization, μB per formula unit: 0.000
Energy above the most stable polymorph in this dataset, eV/atom: 0.251

---

The following is a PBE-GGA calculation of crystalline Tb4Ge2N at its relaxed geometry, from Alexandria via LeMat-Bulk.

a = 11.861 Å, b = 3.901 Å, c = 8.201 Å
α = 90.00°, β = 125.44°, γ = 90.00°
Space group C2/m (No. 12)
One atom of each set of equivalent atoms:
Tb: 0.081 0.000 0.345 x4
Tb: 0.157 0.500 0.075 x4
Ge: 0.118 0.500 0.670 x4
N: 0.000 0.000 0.000 x2

Spin magnetization, μB per formula unit: 0.001
Energy above the most stable polymorph in this dataset, eV/atom: 0.033

---

The following is a PBE-GGA calculation of crystalline CaLa2TlRh at its relaxed geometry, from Alexandria via LeMat-Bulk.

a = 5.505 Å, b = 5.505 Å, c = 5.492 Å
α = 90.00°, β = 90.00°, γ = 90.00°
Space group P4/mmm (No. 123)
One atom of each set of equivalent atoms:
Ca: 0.000 0.000 0.000 x1
La: 0.000 0.500 0.500 x2
Tl: 0.500 0.500 0.000 x1
Rh: 0.500 0.500 0.500 x1

Spin magnetization, μB per formula unit: 0.000
Energy above the most stable polymorph in this dataset, eV/atom: 0.078
Energy relative to the elements, meV/atom: -326

---

The following is a PBE-GGA calculation of crystalline Nd4HoGa4 at its relaxed geometry, from Alexandria via LeMat-Bulk.

a = 10.327 Å, b = 10.327 Å, c = 4.781 Å
α = 90.00°, β = 90.00°, γ = 90.00°
Space group I4/m (No. 87)
One atom of each set of equivalent atoms:
Nd: 0.134 0.353 0.000 x8
Ho: 0.000 0.000 0.000 x2
Ga: 0.070 0.167 0.500 x8

Spin magnetization, μB per formula unit: 0.000
Energy relative to the elements, meV/atom: -391

---

The following is a PBE-GGA calculation of crystalline MnCuBr3 at its relaxed geometry, from Alexandria via LeMat-Bulk.

a = 5.198 Å, b = 5.198 Å, c = 5.198 Å
α = 90.00°, β = 90.00°, γ = 90.00°
Space group Pm-3m (No. 221)
One atom of each set of equivalent atoms:
Mn: 0.000 0.000 0.000 x1
Cu: 0.500 0.500 0.500 x1
Br: 0.000 0.000 0.500 x3

Spin magnetization, μB per formula unit: 4.886
Energy above the most stable polymorph in this dataset, eV/atom: 0.521

---

The following is a PBE-GGA calculation of crystalline Ba2Pb at its relaxed geometry, from Alexandria via LeMat-Bulk.

a = 8.873 Å, b = 5.761 Å, c = 10.819 Å
α = 90.00°, β = 90.00°, γ = 90.00°
Space group Pnma (No. 62)
One atom of each set of equivalent atoms:
Ba: 0.020 0.250 0.180 x4
Ba: 0.155 0.250 0.579 x4
Pb: 0.248 0.250 0.897 x4

Spin magnetization, μB per formula unit: 0.000
Energy relative to the elements, meV/atom: -542

---

The following is a PBE-GGA calculation of crystalline LiLa2Hg3 at its relaxed geometry, from Alexandria via LeMat-Bulk.

a = 7.108 Å, b = 10.081 Å, c = 17.444 Å
α = 90.00°, β = 90.00°, γ = 90.00°
Space group Fmmm (No. 69)
One atom of each set of equivalent atoms:
Li: 0.000 0.000 0.166 x8
La: 0.239 0.000 0.500 x8
La: 0.250 0.250 0.250 x8
Hg: 0.000 0.000 0.326 x8
Hg: 0.000 0.236 0.087 x16

Spin magnetization, μB per formula unit: 0.008
Energy relative to the elements, meV/atom: -447

---

spin magnetization of number 8 (LiLa2Hg3)? 0.008 μB per formula unit